This record from the Open Quantum Materials Database describes an optimized crystal structure of TmAgTe3Pb. The functional is PBE.

```
data_TmAgTe3Pb
_chemical_formula_sum 'Tm4 Ag4 Te12 Pb4'
_cell_length_a 9.0569
_cell_length_b 4.5273
_cell_length_c 17.7566
_cell_angle_alpha 90.00
_cell_angle_beta 90.00
_cell_angle_gamma 90.00
_space_group_name_H-M_alt 'P 1'
_space_group_IT_number 1
loop_
_space_group_symop_operation_xyz
'x,y,z'
loop_
_atom_site_label
_atom_site_type_symbol
_atom_site_fract_x
_atom_site_fract_y
_atom_site_fract_z
_atom_site_occupancy
Tm1 Tm 0.2485 0.2500 0.0315 1
Tm2 Tm 0.2515 0.7500 0.5315 1
Tm3 Tm 0.7485 0.2500 0.4685 1
Tm4 Tm 0.7515 0.7500 0.9685 1
Ag1 Ag 0.1297 0.7500 0.8587 1
Ag2 Ag 0.3703 0.2500 0.3587 1
Ag3 Ag 0.6297 0.7500 0.6413 1
Ag4 Ag 0.8703 0.2500 0.1413 1
Te1 Te 0.0257 0.7500 0.0872 1
Te2 Te 0.1117 0.2500 0.4424 1
Te3 Te 0.1919 0.7500 0.7042 1
Te4 Te 0.3081 0.2500 0.2042 1
Te5 Te 0.3883 0.7500 0.9424 1
Te6 Te 0.4743 0.2500 0.5872 1
Te7 Te 0.5257 0.7500 0.4128 1
Te8 Te 0.6117 0.2500 0.0576 1
Te9 Te 0.6919 0.7500 0.7958 1
Te10 Te 0.8081 0.2500 0.2958 1
Te11 Te 0.8883 0.7500 0.5576 1
Te12 Te 0.9743 0.2500 0.9128 1
Pb1 Pb 0.0688 0.7500 0.2719 1
Pb2 Pb 0.4312 0.2500 0.7719 1
Pb3 Pb 0.5688 0.7500 0.2281 1
Pb4 Pb 0.9312 0.2500 0.7281 1
```

Results
- Magnetization: 0.00 μB/f.u.
- E above lowest polymorph: 74.7 meV per atom
- Space-group type: No. 62
- Total DFT energy (no corrections): -4.0428 eV per atom

This record from the Open Quantum Materials Database describes an optimized crystal structure of TmAgTe3Pb. The functional is PBE.

```
data_TmAgTe3Pb
_chemical_formula_sum 'Tm2 Ag2 Te6 Pb2'
_cell_length_a 8.3070
_cell_length_b 4.3254
_cell_length_c 10.6553
_cell_angle_alpha 90.00
_cell_angle_beta 106.58
_cell_angle_gamma 90.00
_space_group_name_H-M_alt 'P 1'
_space_group_IT_number 1
loop_
_space_group_symop_operation_xyz
'x,y,z'
loop_
_atom_site_label
_atom_site_type_symbol
_atom_site_fract_x
_atom_site_fract_y
_atom_site_fract_z
_atom_site_occupancy
Tm1 Tm 0.1972 0.2500 0.1698 1
Tm2 Tm 0.8028 0.7500 0.8302 1
Ag1 Ag 0.4150 0.7500 0.4085 1
Ag2 Ag 0.5850 0.2500 0.5915 1
Te1 Te 0.0755 0.2500 0.8684 1
Te2 Te 0.2101 0.2500 0.4599 1
Te3 Te 0.4476 0.7500 0.1542 1
Te4 Te 0.5524 0.2500 0.8458 1
Te5 Te 0.7899 0.7500 0.5401 1
Te6 Te 0.9245 0.7500 0.1316 1
Pb1 Pb 0.2382 0.7500 0.7041 1
Pb2 Pb 0.7618 0.2500 0.2959 1
```

Results
- Magnetization: 0.01 μB/f.u.
- E above lowest polymorph: 4.7 meV per atom
- Space-group type: No. 11
- Total DFT energy (no corrections): -4.1128 eV per atom

This record from the Open Quantum Materials Database describes an optimized crystal structure of TmAgPb. The functional is PBE.

```
data_TmAgPb
_chemical_formula_sum 'Tm4 Ag4 Pb4'
_cell_length_a 7.4744
_cell_length_b 4.5636
_cell_length_c 8.5737
_cell_angle_alpha 90.00
_cell_angle_beta 90.00
_cell_angle_gamma 90.00
_space_group_name_H-M_alt 'P 1'
_space_group_IT_number 1
loop_
_space_group_symop_operation_xyz
'x,y,z'
loop_
_atom_site_label
_atom_site_type_symbol
_atom_site_fract_x
_atom_site_fract_y
_atom_site_fract_z
_atom_site_occupancy
Tm1 Tm 0.0281 0.2500 0.2004 1
Tm2 Tm 0.4719 0.7500 0.7004 1
Tm3 Tm 0.5281 0.2500 0.2996 1
Tm4 Tm 0.9719 0.7500 0.7996 1
Ag1 Ag 0.1345 0.2500 0.5594 1
Ag2 Ag 0.3655 0.7500 0.0594 1
Ag3 Ag 0.6345 0.2500 0.9406 1
Ag4 Ag 0.8655 0.7500 0.4406 1
Pb1 Pb 0.2383 0.2500 0.8839 1
Pb2 Pb 0.2617 0.7500 0.3839 1
Pb3 Pb 0.7383 0.2500 0.6161 1
Pb4 Pb 0.7617 0.7500 0.1161 1
```

Results
- Magnetization: 0.00 μB/f.u.
- Space-group type: No. 62
- Total DFT energy (no corrections): -3.9934 eV per atom